! CaSm2Ru, relaxed, DFT PBE-GGA; values from VASP
&SYSTEM
  ibrav = 0, nat = 4, ntyp = 3
/
ATOMIC_SPECIES
Ru 101.07 Ru.upf
Ca 40.08 Ca.upf
Sm 150.36 Sm.upf
CELL_PARAMETERS angstrom
-2.7648 0.8066 1.9769
1.8034 -0.8493 2.8687
3.2001 9.2140 0.7161
ATOMIC_POSITIONS crystal
Ru 0.5000 0.5000 0.0000
Ca 0.5000 0.5000 0.5000
Sm 0.0000 0.0000 0.8280
Sm 0.0000 0.0000 0.1720
! ρ: 6.15 Mg/m³
! Energy: -5.31 eV/atom
! ΔE_f: -0.134 eV per atom
! Total magnetization: 0.0 Bohr magnetons per cell
! E above lowest polymorph: 0.0147 eV per atom